# KMgCd17, optimized geometry, DFT PBE-GGA
data_KMgCd17
_chemical_formula_sum 'K3 Mg3 Cd51'
_symmetry_space_group_name_H-M 'R 3 m'
_symmetry_Int_Tables_number 160
_symmetry_space_group_name_Hall 'R 3 -2"'
_cell_length_a 10.1947
_cell_length_b 10.1947
_cell_length_c 15.4803
_cell_angle_alpha 90.00
_cell_angle_beta 90.00
_cell_angle_gamma 120.00
loop_
_atom_site_label
_atom_site_type_symbol
_atom_site_fract_x
_atom_site_fract_y
_atom_site_fract_z
K1 K 0.0000 0.0000 0.0000
Mg1 Mg 0.0000 0.0000 0.3645
Cd1 Cd 0.0000 0.0000 0.5619
Cd2 Cd 0.0000 0.0000 0.7554
Cd3 Cd 0.0385 0.3710 0.3338
Cd4 Cd 0.1804 0.3608 0.1364
Cd5 Cd 0.1852 0.3705 0.5071
Cd6 Cd 0.2213 0.1106 0.2024
# DFT formation energy (kJ per mole of atoms): -0.8

---

# KMgCd2, optimized geometry, DFT PBE-GGA
data_KMgCd2
_chemical_formula_sum 'K1 Mg1 Cd2'
_symmetry_space_group_name_H-M 'P 1 m 1'
_symmetry_Int_Tables_number 6
_cell_length_a 3.328
_cell_length_b 4.873
_cell_length_c 7.522
_cell_angle_alpha 90.00
_cell_angle_beta 102.51
_cell_angle_gamma 90.00
loop_
_symmetry_equiv_pos_as_xyz
'x,y,z'
'x,-y,z'
loop_
_atom_site_label
_atom_site_type_symbol
_atom_site_fract_x
_atom_site_fract_y
_atom_site_fract_z
K1 K 0.000 0.000 0.000
Mg1 Mg 0.690 0.500 0.364
Cd1 Cd 0.249 0.000 0.482
Cd2 Cd 0.368 0.500 0.729
# DFT formation energy (kJ per mole of atoms): 1.3

---

# KMgCd3, optimized geometry, DFT PBE-GGA
data_KMgCd3
_chemical_formula_sum 'K4 Mg4 Cd12'
_symmetry_space_group_name_H-M 'C m c m'
_symmetry_Int_Tables_number 63
_symmetry_space_group_name_Hall '-C 2c 2'
_cell_length_a 7.039
_cell_length_b 13.953
_cell_length_c 5.815
_cell_angle_alpha 90.00
_cell_angle_beta 90.00
_cell_angle_gamma 90.00
loop_
_atom_site_label
_atom_site_type_symbol
_atom_site_fract_x
_atom_site_fract_y
_atom_site_fract_z
K1 K 0.000 0.098 0.250
Mg1 Mg 0.000 0.500 0.000
Cd1 Cd 0.000 0.312 0.750
Cd2 Cd 0.220 0.341 0.250
# DFT formation energy (kJ per mole of atoms): -4.6

---

# KMg2Cd, optimized geometry, DFT PBE-GGA
data_KMg2Cd
_chemical_formula_sum 'K1 Mg2 Cd1'
_symmetry_space_group_name_H-M 'P 1 2/m 1'
_symmetry_Int_Tables_number 10
_cell_length_a 3.291
_cell_length_b 4.881
_cell_length_c 7.682
_cell_angle_alpha 90.00
_cell_angle_beta 101.10
_cell_angle_gamma 90.00
loop_
_symmetry_equiv_pos_as_xyz
'x,y,z'
'-x,-y,-z'
'-x,y,-z'
'x,-y,z'
loop_
_atom_site_label
_atom_site_type_symbol
_atom_site_fract_x
_atom_site_fract_y
_atom_site_fract_z
K1 K 0.000 0.000 0.000
Mg1 Mg 0.389 0.500 0.684
Cd1 Cd 0.000 0.000 0.500
# DFT formation energy (kJ per mole of atoms): 10.2

---

# K2MgCd2, optimized geometry, DFT PBE-GGA
data_K2MgCd2
_chemical_formula_sum 'K4 Mg2 Cd4'
_symmetry_space_group_name_H-M 'P 4/m b m'
_symmetry_Int_Tables_number 127
_symmetry_space_group_name_Hall '-P 4 2ab'
_cell_length_a 10.410
_cell_length_b 10.410
_cell_length_c 3.499
_cell_angle_alpha 90.00
_cell_angle_beta 90.00
_cell_angle_gamma 90.00
loop_
_atom_site_label
_atom_site_type_symbol
_atom_site_fract_x
_atom_site_fract_y
_atom_site_fract_z
K1 K 0.189 0.311 0.000
Mg1 Mg 0.000 0.000 0.000
Cd1 Cd 0.103 0.603 0.500
# DFT formation energy (kJ per mole of atoms): 16.5

---

# KMgCd2, optimized geometry, DFT PBE-GGA
data_KMgCd2
_chemical_formula_sum 'K1 Mg1 Cd2'
_symmetry_space_group_name_H-M 'P m m 2'
_symmetry_Int_Tables_number 25
_cell_length_a 3.301
_cell_length_b 4.514
_cell_length_c 8.036
_cell_angle_alpha 90.00
_cell_angle_beta 90.00
_cell_angle_gamma 90.00
loop_
_symmetry_equiv_pos_as_xyz
'x,y,z'
'-x,-y,z'
'-x,y,z'
'x,-y,z'
loop_
_atom_site_label
_atom_site_type_symbol
_atom_site_fract_x
_atom_site_fract_y
_atom_site_fract_z
K1 K 0.000 0.000 0.000
Mg1 Mg 0.500 0.500 0.333
Cd1 Cd 0.000 0.000 0.496
Cd2 Cd 0.500 0.500 0.710
# DFT formation energy (kJ per mole of atoms): 3.8

---

# KMg2Cd, optimized geometry, DFT PBE-GGA
data_KMg2Cd
_chemical_formula_sum 'K2 Mg4 Cd2'
_symmetry_space_group_name_H-M 'I -4 m 2'
_symmetry_Int_Tables_number 119
_symmetry_space_group_name_Hall 'I -4 -2'
_cell_length_a 5.464
_cell_length_b 5.464
_cell_length_c 7.828
_cell_angle_alpha 90.00
_cell_angle_beta 90.00
_cell_angle_gamma 90.00
loop_
_atom_site_label
_atom_site_type_symbol
_atom_site_fract_x
_atom_site_fract_y
_atom_site_fract_z
K1 K 0.000 0.000 0.000
Mg1 Mg 0.000 0.000 0.500
Mg2 Mg 0.000 0.500 0.750
Cd1 Cd 0.000 0.500 0.250
# DFT formation energy (kJ per mole of atoms): 13.3

---

# KMg9Cd3, optimized geometry, DFT PBE-GGA
data_KMg9Cd3
_chemical_formula_sum 'K2 Mg18 Cd6'
_symmetry_space_group_name_H-M 'C 1 2/m 1'
_symmetry_Int_Tables_number 12
_cell_length_a 5.946
_cell_length_b 14.711
_cell_length_c 7.882
_cell_angle_alpha 90.00
_cell_angle_beta 111.39
_cell_angle_gamma 90.00
loop_
_symmetry_equiv_pos_as_xyz
'x,y,z'
'-x,-y,-z'
'-x,y,-z'
'x,-y,z'
'x+1/2,y+1/2,z'
'-x+1/2,-y+1/2,-z'
'-x+1/2,y+1/2,-z'
'x+1/2,-y+1/2,z'
loop_
_atom_site_label
_atom_site_type_symbol
_atom_site_fract_x
_atom_site_fract_y
_atom_site_fract_z
K1 K 0.000 0.000 0.000
Mg1 Mg 0.000 0.000 0.500
Mg2 Mg 0.105 0.388 0.222
Mg3 Mg 0.170 0.178 0.352
Cd1 Cd 0.000 0.500 0.500
Cd2 Cd 0.250 0.250 0.000
# DFT formation energy (kJ per mole of atoms): -2.6

---

# KMg2Cd, optimized geometry, DFT PBE-GGA
data_KMg2Cd
_chemical_formula_sum 'K2 Mg4 Cd2'
_symmetry_space_group_name_H-M 'C 1 2/m 1'
_symmetry_Int_Tables_number 12
_cell_length_a 6.753
_cell_length_b 12.055
_cell_length_c 3.233
_cell_angle_alpha 90.00
_cell_angle_beta 115.98
_cell_angle_gamma 90.00
loop_
_symmetry_equiv_pos_as_xyz
'x,y,z'
'-x,-y,-z'
'-x,y,-z'
'x,-y,z'
'x+1/2,y+1/2,z'
'-x+1/2,-y+1/2,-z'
'-x+1/2,y+1/2,-z'
'x+1/2,-y+1/2,z'
loop_
_atom_site_label
_atom_site_type_symbol
_atom_site_fract_x
_atom_site_fract_y
_atom_site_fract_z
K1 K 0.000 0.000 0.000
Mg1 Mg 0.250 0.250 0.500
Cd1 Cd 0.000 0.500 0.000
# DFT formation energy (kJ per mole of atoms): 16.8

---

# K2MgCd, optimized geometry, DFT PBE-GGA
data_K2MgCd
_chemical_formula_sum 'K2 Mg1 Cd1'
_symmetry_space_group_name_H-M 'P 4 m m'
_symmetry_Int_Tables_number 99
_cell_length_a 3.974
_cell_length_b 3.974
_cell_length_c 10.347
_cell_angle_alpha 90.00
_cell_angle_beta 90.00
_cell_angle_gamma 90.00
loop_
_symmetry_equiv_pos_as_xyz
'x,y,z'
'-y,x,z'
'-x,-y,z'
'y,-x,z'
'-x,y,z'
'y,x,z'
'x,-y,z'
'-y,-x,z'
loop_
_atom_site_label
_atom_site_type_symbol
_atom_site_fract_x
_atom_site_fract_y
_atom_site_fract_z
K1 K 0.000 0.000 0.000
K2 K 0.500 0.500 0.380
Mg1 Mg 0.000 0.000 0.640
Cd1 Cd 0.500 0.500 0.757
# DFT formation energy (kJ per mole of atoms): 3.6

---

# KMg2Cd, optimized geometry, DFT PBE-GGA
data_KMg2Cd
_chemical_formula_sum 'K2 Mg4 Cd2'
_symmetry_space_group_name_H-M 'I m m m'
_symmetry_Int_Tables_number 71
_symmetry_space_group_name_Hall '-I 2 2'
_cell_length_a 3.259
_cell_length_b 5.933
_cell_length_c 12.209
_cell_angle_alpha 90.00
_cell_angle_beta 90.00
_cell_angle_gamma 90.00
loop_
_atom_site_label
_atom_site_type_symbol
_atom_site_fract_x
_atom_site_fract_y
_atom_site_fract_z
K1 K 0.000 0.000 0.000
Mg1 Mg 0.000 0.500 0.211
Cd1 Cd 0.000 0.000 0.500
# DFT formation energy (kJ per mole of atoms): 10.4

---

# KMgCd2, optimized geometry, DFT PBE-GGA
data_KMgCd2
_chemical_formula_sum 'K1 Mg1 Cd2'
_symmetry_space_group_name_H-M 'P 4/m m m'
_symmetry_Int_Tables_number 123
_symmetry_space_group_name_Hall '-P 4 2'
_cell_length_a 5.254
_cell_length_b 5.254
_cell_length_c 4.263
_cell_angle_alpha 90.00
_cell_angle_beta 90.00
_cell_angle_gamma 90.00
loop_
_atom_site_label
_atom_site_type_symbol
_atom_site_fract_x
_atom_site_fract_y
_atom_site_fract_z
K1 K 0.000 0.000 0.000
Mg1 Mg 0.500 0.500 0.000
Cd1 Cd 0.000 0.500 0.500
# DFT formation energy (kJ per mole of atoms): 8.6

---

# KMg6Cd3, optimized geometry, DFT PBE-GGA
data_KMg6Cd3
_chemical_formula_sum 'K2 Mg12 Cd6'
_symmetry_space_group_name_H-M 'P 1 21/c 1'
_symmetry_Int_Tables_number 14
_cell_length_a 7.764
_cell_length_b 7.608
_cell_length_c 9.864
_cell_angle_alpha 90.00
_cell_angle_beta 119.24
_cell_angle_gamma 90.00
loop_
_symmetry_equiv_pos_as_xyz
'x,y,z'
'-x,-y,-z'
'-x,y+1/2,-z+1/2'
'x,-y+1/2,z+1/2'
loop_
_atom_site_label
_atom_site_type_symbol
_atom_site_fract_x
_atom_site_fract_y
_atom_site_fract_z
K1 K 0.000 0.000 0.000
Mg1 Mg 0.140 0.036 0.676
Mg2 Mg 0.269 0.684 0.867
Mg3 Mg 0.477 0.166 0.272
Cd1 Cd 0.234 0.175 0.430
Cd2 Cd 0.500 0.000 0.000
# DFT formation energy (kJ per mole of atoms): 0.6